Record 1
{
  "formula": "Sm5Zn2Te",
  "functional": "PBE",
  "state": "optimized geometry",
  "cell": [[-4.199, 4.199, 6.318], [4.199, -4.199, 6.318], [4.199, 4.199, -6.318]],
  "species": ["Sm", "Sm", "Sm", "Sm", "Sm", "Sm", "Sm", "Sm", "Sm", "Sm", "Zn", "Zn", "Zn", "Zn", "Te", "Te"],
  "frac_coords": [[0.000, 0.000, 0.000], [0.010, 0.510, 0.806], [0.203, 0.010, 0.500], [0.297, 0.797, 0.806], [0.490, 0.297, 0.500], [0.500, 0.500, 0.000], [0.510, 0.703, 0.500], [0.703, 0.203, 0.194], [0.797, 0.990, 0.500], [0.990, 0.490, 0.194], [0.143, 0.357, 0.500], [0.357, 0.857, 0.215], [0.643, 0.143, 0.785], [0.857, 0.643, 0.500], [0.250, 0.250, 0.000], [0.750, 0.750, 0.000]],
  "spacegroup": "I4/mcm",
  "e_form_raw_ev_per_fu": -3.91
}

Record 2
{
  "formula": "Sm3ZnTe3",
  "functional": "PBE",
  "state": "optimized geometry",
  "cell": [[12.982, 0.000, 0.000], [0.000, 4.168, 0.000], [0.000, 0.000, 15.166]],
  "species": ["Sm", "Sm", "Sm", "Sm", "Sm", "Sm", "Sm", "Sm", "Sm", "Sm", "Sm", "Sm", "Zn", "Zn", "Zn", "Zn", "Te", "Te", "Te", "Te", "Te", "Te", "Te", "Te", "Te", "Te", "Te", "Te"],
  "frac_coords": [[0.062, 0.250, 0.113], [0.116, 0.250, 0.565], [0.248, 0.250, 0.838], [0.252, 0.750, 0.338], [0.384, 0.750, 0.065], [0.438, 0.750, 0.613], [0.562, 0.250, 0.387], [0.616, 0.250, 0.935], [0.748, 0.250, 0.662], [0.752, 0.750, 0.162], [0.884, 0.750, 0.435], [0.938, 0.750, 0.887], [0.016, 0.250, 0.759], [0.484, 0.750, 0.259], [0.516, 0.250, 0.741], [0.984, 0.750, 0.241], [0.058, 0.250, 0.362], [0.158, 0.750, 0.977], [0.220, 0.750, 0.688], [0.280, 0.250, 0.188], [0.342, 0.250, 0.477], [0.442, 0.750, 0.862], [0.558, 0.250, 0.138], [0.658, 0.750, 0.523], [0.720, 0.750, 0.812], [0.780, 0.250, 0.312], [0.842, 0.250, 0.023], [0.942, 0.750, 0.638]],
  "spacegroup": "Pnma",
  "e_form_raw_ev_per_fu": -7.22
}

Record 3
{
  "formula": "SmZrTe2",
  "functional": "PBE",
  "state": "optimized geometry",
  "cell": [[1.964, 1.134, 9.888], [-1.964, 1.134, 9.888], [0.000, -2.268, 9.888]],
  "species": ["Sm", "Zr", "Te", "Te"],
  "frac_coords": [[0.000, 0.000, 0.000], [0.500, 0.500, 0.500], [0.105, 0.105, 0.105], [0.895, 0.895, 0.895]],
  "polymorph_energy_ev_per_fu": 1.38,
  "spacegroup": "R-3m",
  "e_form_raw_ev_per_fu": -2.54
}

Record 4
{
  "formula": "Sm2ZrTe5",
  "functional": "PBE",
  "state": "optimized geometry",
  "cell": [[3.031, -7.308, 0.000], [3.031, 7.308, 0.000], [0.000, 0.000, 14.371]],
  "species": ["Sm", "Sm", "Sm", "Sm", "Zr", "Zr", "Te", "Te", "Te", "Te", "Te", "Te", "Te", "Te", "Te", "Te"],
  "frac_coords": [[0.155, 0.845, 0.560], [0.155, 0.845, 0.940], [0.845, 0.155, 0.060], [0.845, 0.155, 0.440], [0.193, 0.807, 0.250], [0.807, 0.193, 0.750], [0.047, 0.953, 0.123], [0.047, 0.953, 0.377], [0.272, 0.728, 0.750], [0.321, 0.679, 0.086], [0.321, 0.679, 0.414], [0.679, 0.321, 0.586], [0.679, 0.321, 0.914], [0.728, 0.272, 0.250], [0.953, 0.047, 0.623], [0.953, 0.047, 0.877]],
  "spacegroup": "Cmcm",
  "e_form_raw_ev_per_fu": -8.69
}

Record 5
{
  "formula": "SmZr3Te6",
  "functional": "PBE",
  "state": "optimized geometry",
  "cell": [[11.959, 0.000, 0.000], [0.000, 4.060, 0.000], [-4.091, 0.000, 11.834]],
  "species": ["Sm", "Sm", "Zr", "Zr", "Zr", "Zr", "Zr", "Zr", "Te", "Te", "Te", "Te", "Te", "Te", "Te", "Te", "Te", "Te", "Te", "Te"],
  "frac_coords": [[0.052, 0.250, 0.201], [0.948, 0.750, 0.799], [0.120, 0.250, 0.570], [0.320, 0.750, 0.987], [0.444, 0.250, 0.368], [0.556, 0.750, 0.632], [0.680, 0.250, 0.013], [0.880, 0.750, 0.430], [0.110, 0.750, 0.403], [0.126, 0.250, 0.972], [0.192, 0.750, 0.746], [0.278, 0.750, 0.219], [0.376, 0.250, 0.572], [0.486, 0.250, 0.124], [0.514, 0.750, 0.876], [0.624, 0.750, 0.428], [0.722, 0.250, 0.781], [0.808, 0.250, 0.254], [0.874, 0.750, 0.028], [0.890, 0.250, 0.597]],
  "spacegroup": "P2_1/m",
  "e_form_raw_ev_per_fu": -9.46
}

Record 6
{
  "formula": "Sm2ZrTe",
  "functional": "PBE",
  "state": "optimized geometry",
  "cell": [[1.874, 1.082, 10.470], [-1.874, 1.082, 10.470], [0.000, -2.164, 10.470]],
  "species": ["Sm", "Sm", "Zr", "Te"],
  "frac_coords": [[0.097, 0.097, 0.097], [0.903, 0.903, 0.903], [0.000, 0.000, 0.000], [0.500, 0.500, 0.500]],
  "spacegroup": "R-3m",
  "e_form_raw_ev_per_fu": -0.08
}

Record 7
{
  "formula": "SmZrTe2",
  "functional": "PBE",
  "state": "optimized geometry",
  "cell": [[3.675, 0.000, 0.000], [0.000, 3.675, 0.000], [0.000, 0.000, 7.487]],
  "species": ["Sm", "Zr", "Te", "Te"],
  "frac_coords": [[0.000, 0.000, 0.000], [0.000, 0.000, 0.500], [0.500, 0.500, 0.269], [0.500, 0.500, 0.731]],
  "polymorph_energy_ev_per_fu": 0.00,
  "spacegroup": "P4/mmm",
  "e_form_raw_ev_per_fu": -3.93
}

Record 8
{
  "formula": "Sm2ZrTe4",
  "functional": "PBE",
  "state": "optimized geometry",
  "cell": [[2.076, -7.368, 0.000], [2.076, 7.368, 0.000], [0.000, 0.000, 14.772]],
  "species": ["Sm", "Sm", "Sm", "Sm", "Zr", "Zr", "Te", "Te", "Te", "Te", "Te", "Te", "Te", "Te"],
  "frac_coords": [[0.129, 0.871, 0.583], [0.129, 0.871, 0.917], [0.871, 0.129, 0.083], [0.871, 0.129, 0.417], [0.352, 0.648, 0.750], [0.648, 0.352, 0.250], [0.001, 0.999, 0.750], [0.217, 0.783, 0.122], [0.217, 0.783, 0.378], [0.500, 0.500, 0.000], [0.500, 0.500, 0.500], [0.783, 0.217, 0.622], [0.783, 0.217, 0.878], [0.999, 0.001, 0.250]],
  "spacegroup": "Cmcm",
  "e_form_raw_ev_per_fu": -7.57
}

Record 9
{
  "formula": "SmZr2Te4",
  "functional": "PBE",
  "state": "optimized geometry",
  "cell": [[2.024, -6.772, 0.000], [2.024, 6.772, 0.000], [0.000, 0.000, 14.892]],
  "species": ["Sm", "Sm", "Zr", "Zr", "Zr", "Zr", "Te", "Te", "Te", "Te", "Te", "Te", "Te", "Te"],
  "frac_coords": [[0.100, 0.900, 0.750], [0.900, 0.100, 0.250], [0.347, 0.653, 0.559], [0.347, 0.653, 0.941], [0.653, 0.347, 0.059], [0.653, 0.347, 0.441], [0.000, 0.000, 0.000], [0.000, 0.000, 0.500], [0.288, 0.712, 0.125], [0.288, 0.712, 0.375], [0.429, 0.571, 0.750], [0.571, 0.429, 0.250], [0.712, 0.288, 0.625], [0.712, 0.288, 0.875]],
  "spacegroup": "Cmcm",
  "e_form_raw_ev_per_fu": -6.48
}

Record 10
{
  "formula": "Sm3ZrTe4",
  "functional": "PBE",
  "state": "optimized geometry",
  "cell": [[2.185, 1.262, 14.280], [-2.185, 1.262, 14.280], [0.000, -2.523, 14.280]],
  "species": ["Sm", "Sm", "Sm", "Zr", "Te", "Te", "Te", "Te"],
  "frac_coords": [[0.000, 0.000, 0.000], [0.246, 0.246, 0.246], [0.754, 0.754, 0.754], [0.500, 0.500, 0.500], [0.130, 0.130, 0.130], [0.377, 0.377, 0.377], [0.623, 0.623, 0.623], [0.870, 0.870, 0.870]],
  "spacegroup": "R-3m",
  "e_form_raw_ev_per_fu": -9.26
}

Record 11
{
  "formula": "Sm5Th",
  "functional": "PBE",
  "state": "optimized geometry",
  "cell": [[2.561, -7.681, 0.000], [2.561, 7.681, 0.000], [0.000, 0.000, 5.117]],
  "species": ["Sm", "Sm", "Sm", "Sm", "Sm", "Th"],
  "frac_coords": [[0.000, 0.000, 0.000], [0.164, 0.836, 0.500], [0.337, 0.663, 0.000], [0.663, 0.337, 0.000], [0.836, 0.164, 0.500], [0.500, 0.500, 0.500]],
  "polymorph_energy_ev_per_fu": 0.11,
  "spacegroup": "Cmmm"
}

Record 12
{
  "formula": "SmTh",
  "functional": "PBE",
  "state": "optimized geometry",
  "cell": [[4.042, 0.000, 0.000], [0.000, 4.042, 0.000], [0.000, 0.000, 4.042]],
  "species": ["Sm", "Th"],
  "frac_coords": [[0.000, 0.000, 0.000], [0.500, 0.500, 0.500]],
  "polymorph_energy_ev_per_fu": 0.37,
  "spacegroup": "Pm-3m"
}

Record 13
{
  "formula": "SmTh",
  "functional": "PBE",
  "state": "optimized geometry",
  "cell": [[3.578, 0.000, 0.000], [0.000, 5.920, 0.000], [0.000, 0.000, 6.274]],
  "species": ["Sm", "Sm", "Th", "Th"],
  "frac_coords": [[0.250, 0.250, 0.095], [0.750, 0.750, 0.905], [0.250, 0.750, 0.420], [0.750, 0.250, 0.580]],
  "polymorph_energy_ev_per_fu": 0.10,
  "spacegroup": "Pmmn"
}

Record 14
{
  "formula": "Sm5Th3",
  "functional": "PBE",
  "state": "optimized geometry",
  "cell": [[3.613, 0.000, 0.000], [0.000, 3.613, 0.000], [0.000, 0.000, 20.440]],
  "species": ["Sm", "Sm", "Sm", "Sm", "Sm", "Th", "Th", "Th"],
  "frac_coords": [[0.000, 0.000, 0.000], [0.000, 0.000, 0.245], [0.000, 0.000, 0.755], [0.500, 0.500, 0.381], [0.500, 0.500, 0.619], [0.000, 0.000, 0.500], [0.500, 0.500, 0.125], [0.500, 0.500, 0.875]],
  "spacegroup": "P4/mmm"
}

Record 15
{
  "formula": "Sm3Th13",
  "functional": "PBE",
  "state": "optimized geometry",
  "cell": [[7.132, 0.000, 0.000], [0.000, 5.946, 6.175], [0.000, -5.946, 6.175]],
  "species": ["Sm", "Sm", "Sm", "Th", "Th", "Th", "Th", "Th", "Th", "Th", "Th", "Th", "Th", "Th", "Th", "Th"],
  "frac_coords": [[0.000, 0.000, 0.000], [0.250, 0.745, 0.745], [0.750, 0.745, 0.745], [0.000, 0.410, 0.911], [0.000, 0.492, 0.492], [0.000, 0.911, 0.410], [0.251, 0.161, 0.660], [0.251, 0.660, 0.161], [0.253, 0.248, 0.248], [0.500, 0.003, 0.003], [0.500, 0.410, 0.909], [0.500, 0.491, 0.491], [0.500, 0.909, 0.410], [0.747, 0.248, 0.248], [0.749, 0.161, 0.660], [0.749, 0.660, 0.161]],
  "spacegroup": "Amm2"
}

Record 16
{
  "formula": "Sm2Th",
  "functional": "PBE",
  "state": "optimized geometry",
  "cell": [[0.000, 4.630, 4.630], [4.630, 0.000, 4.630], [4.630, 4.630, 0.000]],
  "species": ["Sm", "Sm", "Sm", "Sm", "Th", "Th"],
  "frac_coords": [[0.000, 0.000, 0.000], [0.000, 0.000, 0.500], [0.000, 0.500, 0.000], [0.500, 0.000, 0.000], [0.375, 0.375, 0.375], [0.625, 0.625, 0.625]],
  "polymorph_energy_ev_per_fu": 1.02,
  "spacegroup": "Fd-3m"
}

Record 17
{
  "formula": "Sm2Th",
  "functional": "PBE",
  "state": "optimized geometry",
  "cell": [[-2.120, 2.120, 5.522], [2.120, -2.120, 5.522], [2.120, 2.120, -5.522]],
  "species": ["Sm", "Sm", "Th"],
  "frac_coords": [[0.171, 0.171, 0.000], [0.829, 0.829, 0.000], [0.500, 0.500, 0.000]],
  "polymorph_energy_ev_per_fu": 0.44,
  "spacegroup": "I4/mmm"
}

Record 18
{
  "formula": "SmTh2",
  "functional": "PBE",
  "state": "optimized geometry",
  "cell": [[3.589, 0.000, 0.000], [-1.794, 3.108, 0.000], [0.000, 0.000, 26.306]],
  "species": ["Sm", "Sm", "Sm", "Th", "Th", "Th", "Th", "Th", "Th"],
  "frac_coords": [[0.000, 0.000, 0.000], [0.333, 0.667, 0.222], [0.667, 0.333, 0.778], [0.000, 0.000, 0.336], [0.000, 0.000, 0.664], [0.333, 0.667, 0.555], [0.333, 0.667, 0.889], [0.667, 0.333, 0.111], [0.667, 0.333, 0.445]],
  "polymorph_energy_ev_per_fu": 0.00,
  "spacegroup": "P-3m1"
}

Record 19
{
  "formula": "SmTh5",
  "functional": "PBE",
  "state": "optimized geometry",
  "cell": [[3.590, 0.000, 0.000], [0.000, 3.590, 0.000], [0.000, 0.000, 15.125]],
  "species": ["Sm", "Th", "Th", "Th", "Th", "Th"],
  "frac_coords": [[0.000, 0.000, 0.000], [0.000, 0.000, 0.335], [0.000, 0.000, 0.665], [0.500, 0.500, 0.171], [0.500, 0.500, 0.500], [0.500, 0.500, 0.829]],
  "polymorph_energy_ev_per_fu": 0.00,
  "spacegroup": "P4/mmm"
}

Record 20
{
  "formula": "SmTh",
  "functional": "PBE",
  "state": "optimized geometry",
  "cell": [[3.607, 0.000, 0.000], [0.000, 3.607, 0.000], [0.000, 0.000, 10.172]],
  "species": ["Sm", "Sm", "Th", "Th"],
  "frac_coords": [[0.250, 0.250, 0.134], [0.750, 0.750, 0.866], [0.250, 0.250, 0.619], [0.750, 0.750, 0.381]],
  "polymorph_energy_ev_per_fu": 0.03,
  "spacegroup": "P4/nmm"
}

Record 21
{
  "formula": "Sm6Th",
  "functional": "PBE",
  "state": "optimized geometry",
  "cell": [[-4.028, 4.028, 4.028], [4.028, -4.028, 4.028], [4.028, 4.028, -4.028]],
  "species": ["Sm", "Sm", "Sm", "Sm", "Sm", "Sm", "Th"],
  "frac_coords": [[0.250, 0.500, 0.750], [0.250, 0.750, 0.500], [0.500, 0.250, 0.750], [0.500, 0.750, 0.250], [0.750, 0.250, 0.500], [0.750, 0.500, 0.250], [0.000, 0.000, 0.000]],
  "spacegroup": "Im-3m"
}

Record 22
{
  "formula": "SmTh2",
  "functional": "PBE",
  "state": "optimized geometry",
  "cell": [[-1.799, 1.799, 7.595], [1.799, -1.799, 7.595], [1.799, 1.799, -7.595]],
  "species": ["Sm", "Th", "Th"],
  "frac_coords": [[0.000, 0.000, 0.000], [0.330, 0.330, 0.000], [0.670, 0.670, 0.000]],
  "polymorph_energy_ev_per_fu": 0.05,
  "spacegroup": "I4/mmm"
}

Record 23
{
  "formula": "Sm4Th5",
  "functional": "PBE",
  "state": "optimized geometry",
  "cell": [[-5.405, 5.405, 2.539], [5.405, -5.405, 2.539], [5.405, 5.405, -2.539]],
  "species": ["Sm", "Sm", "Sm", "Sm", "Th", "Th", "Th", "Th", "Th"],
  "frac_coords": [[0.000, 0.324, 0.324], [0.000, 0.676, 0.676], [0.324, 0.000, 0.324], [0.676, 0.000, 0.676], [0.000, 0.000, 0.000], [0.334, 0.334, 0.669], [0.334, 0.666, 0.000], [0.666, 0.334, 0.000], [0.666, 0.666, 0.331]],
  "spacegroup": "I4/mmm"
}

no.,E (eV/atom)
1,-4.149
2,-4.583
3,-5.524
4,-5.298
5,-5.867
6,-5.303
7,-5.869
8,-5.446
9,-5.838
10,-5.566
11,-5.129
12,-5.871
13,-6.007
14,-5.690
15,-6.854
16,-5.273
17,-5.467
18,-6.487
19,-6.940
20,-6.039
21,-3.744
22,-6.470
23,-6.170